# Na3Pm3TaO8

Na3Pm3TaO8 after structural relaxation (PBE, Alexandria).

abc: 6.889 6.890 6.950
angles: 119.71 90.00 120.00
Fractional positions:
Na1 0.000 0.000 0.000
Na2 0.000 0.500 0.000
Na3 0.500 0.500 0.000
Pm1 0.500 0.000 0.500
Pm2 0.500 0.500 0.500
Pm3 0.000 0.500 0.500
Ta1 0.000 0.000 0.500
O1 0.255 0.510 0.265
O2 0.745 0.490 0.735
O3 0.792 0.584 0.304
O4 0.208 0.416 0.696
O5 0.792 0.012 0.304
O6 0.208 0.988 0.696
O7 0.220 0.012 0.304
O8 0.780 0.988 0.696

# Na2TbPmO4

Na2TbPmO4 after structural relaxation (PBE, Alexandria).

abc: 3.504 6.071 5.963
angles: 109.83 90.00 90.00
Fractional positions:
Na1 0.500 0.000 0.500
Na2 0.000 0.500 0.500
Tb1 0.000 0.000 0.000
Pm1 0.500 0.500 0.000
O1 0.500 0.232 0.213
O2 0.500 0.768 0.787
O3 0.000 0.256 0.786
O4 0.000 0.744 0.214

# Na3Tb2PmO6

Na3Tb2PmO6 after structural relaxation (PBE, Alexandria).

abc: 6.040 6.040 5.954
angles: 99.72 99.72 120.01
Fractional positions:
Na1 0.170 0.830 0.500
Na2 0.830 0.170 0.500
Na3 0.500 0.500 0.500
Tb1 0.333 0.667 0.000
Tb2 0.667 0.333 0.000
Pm1 0.000 0.000 0.000
O1 0.929 0.589 0.787
O2 0.731 0.731 0.213
O3 0.071 0.411 0.213
O4 0.589 0.929 0.787
O5 0.269 0.269 0.787
O6 0.411 0.071 0.213

# NaPm2TcO8

NaPm2TcO8 after structural relaxation (PBE, Alexandria).

abc: 5.249 4.290 7.102
angles: 75.39 90.66 89.26
Fractional positions:
Na1 0.000 0.000 0.500
Pm1 0.511 0.380 0.787
Pm2 0.489 0.620 0.213
Tc1 0.000 0.000 0.000
O1 0.020 0.674 0.238
O2 0.697 0.818 0.909
O3 0.777 0.225 0.120
O4 0.980 0.326 0.762
O5 0.303 0.182 0.091
O6 0.223 0.775 0.880
O7 0.524 0.830 0.499
O8 0.476 0.170 0.501

# NaPm2TcO6

NaPm2TcO6 after structural relaxation (PBE, Alexandria).

abc: 5.290 5.349 5.349
angles: 90.00 90.00 90.00
Fractional positions:
Na1 0.551 0.500 0.500
Pm1 0.993 0.500 0.000
Pm2 0.993 0.000 0.500
Tc1 0.579 0.000 0.000
O1 0.741 0.229 0.229
O2 0.741 0.229 0.771
O3 0.127 0.500 0.500
O4 0.240 0.000 0.000
O5 0.741 0.771 0.771
O6 0.741 0.771 0.229

# Na3Pm2TcO6

Na3Pm2TcO6 after structural relaxation (PBE, Alexandria).

abc: 5.773 5.773 5.976
angles: 99.41 99.41 117.97
Last column: magnetic moment on the atom in μB.
Fractional positions:
Na1 0.156 0.844 0.500  0.00
Na2 0.844 0.156 0.500  0.00
Na3 0.500 0.500 0.500  0.00
Pm1 0.326 0.674 0.000  0.00
Pm2 0.674 0.326 0.000  0.00
Tc1 0.000 0.000 0.000  1.58
O1 0.915 0.606 0.774  0.02
O2 0.771 0.771 0.203  0.08
O3 0.085 0.394 0.226  0.02
O4 0.606 0.915 0.774  0.02
O5 0.229 0.229 0.797  0.08
O6 0.394 0.085 0.226  0.02

# Na4PmTc3O12

Na4PmTc3O12 after structural relaxation (PBE, Alexandria).

abc: 6.999 6.999 6.999
angles: 109.47 109.47 109.47
Last column: magnetic moment on the atom in μB.
Fractional positions:
Na1 0.500 0.500 0.500  0.00
Na2 0.000 0.000 0.500  0.00
Na3 0.500 0.000 0.000  0.00
Na4 0.000 0.500 0.000  0.00
Pm1 0.000 0.000 0.000  0.00
Tc1 0.500 0.000 0.500  0.16
Tc2 0.500 0.500 0.000  0.16
Tc3 0.000 0.500 0.500  0.16
O1 0.250 0.500 0.750  0.03
O2 0.727 0.000 0.727  0.01
O3 0.273 0.000 0.273  0.01
O4 0.750 0.500 0.250  0.03
O5 0.727 0.727 0.000  0.01
O6 0.273 0.273 0.000  0.01
O7 0.750 0.250 0.500  0.03
O8 0.250 0.750 0.500  0.03
O9 0.500 0.250 0.750  0.03
O10 0.000 0.727 0.727  0.01
O11 0.500 0.750 0.250  0.03
O12 0.000 0.273 0.273  0.01

# Na4Pm3TcO8

Na4Pm3TcO8 after structural relaxation (PBE, Alexandria).

abc: 6.850 6.879 6.851
angles: 119.86 120.00 90.00
Last column: magnetic moment on the atom in μB.
Fractional positions:
Na1 0.500 0.000 0.000  0.00
Na2 0.500 0.000 0.500  0.00
Na3 0.000 0.000 0.000  0.00
Na4 0.000 0.000 0.500  0.00
Pm1 0.500 0.500 0.000  -0.01
Pm2 0.500 0.500 0.500  -0.01
Pm3 0.000 0.500 0.500  -0.01
Tc1 0.000 0.500 0.000  1.61
O1 0.228 0.717 0.988  0.04
O2 0.228 0.716 0.457  0.04
O3 0.260 0.280 0.520  0.00
O4 0.760 0.717 0.988  0.04
O5 0.240 0.283 0.012  0.04
O6 0.740 0.720 0.480  0.00
O7 0.772 0.284 0.543  0.04
O8 0.772 0.283 0.012  0.04

# Na3Pm3TcO8

Na3Pm3TcO8 after structural relaxation (PBE, Alexandria).

abc: 6.916 6.916 6.858
angles: 120.28 90.00 120.00
Last column: magnetic moment on the atom in μB.
Fractional positions:
Na1 0.000 0.000 0.000  0.00
Na2 0.000 0.500 0.000  0.00
Na3 0.500 0.500 0.000  0.00
Pm1 0.500 0.000 0.500  0.01
Pm2 0.500 0.500 0.500  0.01
Pm3 0.000 0.500 0.500  0.01
Tc1 0.000 0.000 0.500  2.31
O1 0.261 0.522 0.284  0.01
O2 0.739 0.478 0.716  0.01
O3 0.785 0.570 0.300  0.07
O4 0.215 0.430 0.700  0.07
O5 0.785 0.015 0.300  0.07
O6 0.215 0.985 0.700  0.07
O7 0.230 0.015 0.300  0.07
O8 0.770 0.985 0.700  0.07

# Na2Pm2TcO6

Na2Pm2TcO6 after structural relaxation (PBE, Alexandria).

abc: 5.922 5.922 5.891
angles: 96.96 96.96 119.89
Last column: magnetic moment on the atom in μB.
Fractional positions:
Na1 0.860 0.140 0.000  0.00
Na2 0.140 0.860 0.000  0.00
Pm1 0.337 0.663 0.500  0.02
Pm2 0.663 0.337 0.500  0.02
Tc1 0.000 0.000 0.500  2.29
O1 0.760 0.760 0.701  0.08
O2 0.038 0.345 0.692  0.06
O3 0.240 0.240 0.299  0.08
O4 0.345 0.038 0.692  0.06
O5 0.962 0.655 0.308  0.06
O6 0.655 0.962 0.308  0.06

# NaPm2TeO6

NaPm2TeO6 after structural relaxation (PBE, Alexandria).

abc: 5.895 5.895 6.085
angles: 61.03 61.03 60.00
Last column: magnetic moment on the atom in μB.
Fractional positions:
Na1 0.802 0.802 0.593  0.00
Pm1 0.533 0.533 0.400  0.02
Pm2 0.026 0.026 0.923  0.01
Te1 0.320 0.320 0.040  0.15
O1 0.590 0.214 0.241  0.12
O2 0.214 0.956 0.241  0.12
O3 0.956 0.590 0.241  0.12
O4 0.411 0.671 0.779  0.05
O5 0.671 0.139 0.779  0.05
O6 0.139 0.411 0.779  0.05

# NaPmTe2O6

NaPmTe2O6 after structural relaxation (PBE, Alexandria).

abc: 6.794 6.920 6.920
angles: 99.02 85.90 85.90
Fractional positions:
Na1 0.250 0.286 0.714
Na2 0.750 0.714 0.286
Pm1 0.250 0.892 0.108
Pm2 0.750 0.108 0.892
Te1 0.254 0.807 0.575
Te2 0.246 0.425 0.193
Te3 0.746 0.193 0.425
Te4 0.754 0.575 0.807
O1 0.093 0.956 0.807
O2 0.407 0.193 0.044
O3 0.907 0.044 0.193
O4 0.593 0.807 0.956
O5 0.303 0.017 0.436
O6 0.197 0.564 0.983
O7 0.697 0.983 0.564
O8 0.803 0.436 0.017
O9 0.060 0.712 0.408
O10 0.440 0.592 0.288
O11 0.940 0.288 0.592
O12 0.560 0.408 0.712

Number 1: spin magnetization 0.0 μB/f.u., raw total energy -7.30 eV per atom. Number 2: spin magnetization 0.0 μB/f.u., raw total energy -6.69 eV per atom. Number 3: spin magnetization 0.0 μB/f.u., raw total energy -6.71 eV per atom. Number 4: spin magnetization 0.0 μB/f.u., raw total energy -7.11 eV per atom. Number 5: spin magnetization 0.0 μB/f.u., raw total energy -7.34 eV per atom. Number 6: spin magnetization 2.0 μB/f.u., raw total energy -6.60 eV per atom. Number 7: spin magnetization 0.8 μB/f.u., raw total energy -6.68 eV per atom. Number 8: spin magnetization 2.0 μB/f.u., raw total energy -6.58 eV per atom. Number 9: spin magnetization 3.0 μB/f.u., raw total energy -6.93 eV per atom. Number 10: spin magnetization 3.0 μB/f.u., raw total energy -7.01 eV per atom. Number 11: spin magnetization 0.8 μB/f.u., raw total energy -6.66 eV per atom. Number 12: spin magnetization 0.0 μB/f.u., raw total energy -5.97 eV per atom.